No. 1
Material: CdTcP2
Method: DFT, PBE-GGA
State: optimized geometry

a b c (Å): 2.866 2.866 10.237
angles (deg): 90.00 90.00 118.27
Fractional positions:
P (0.000, 0.000, 0.436)
Tc (0.500, 0.500, 0.250)
Cd (0.500, 0.500, 0.750)
P (0.000, 0.000, 0.064)

Summary:
The calculation puts the formation energy at 0.205 eV per atom. As for the space-group type: No. 65.



No. 2
Material: Pr7Dy2Mg
Method: DFT, PBE-GGA
State: optimized geometry

a b c (Å): 5.712 9.216 9.216
angles (deg): 121.60 90.00 90.00
Fractional positions:
Mg (0.000, 0.000, 0.000)
Pr (0.500, 0.068, 0.291)
Pr (0.000, 0.772, 0.228)
Dy (0.500, 0.707, 0.293)
Pr (0.500, 0.932, 0.709)
Dy (0.500, 0.293, 0.707)
Pr (0.500, 0.500, 0.500)
Pr (0.000, 0.228, 0.772)
Pr (0.500, 0.709, 0.932)
Pr (0.500, 0.291, 0.068)

Summary:
The calculation puts the formation energy at 0.575 eV per atom. As for the space-group type: No. 65.



No. 3
Material: Ba2PdPt4
Method: DFT, PBE-GGA
State: optimized geometry

a b c (Å): 4.972 4.972 8.626
angles (deg): 73.25 73.25 90.00
Each line ends with the local moment (μB).
Fractional positions:
Pt (0.500, 0.000, 0.000)  0.14
Pt (0.839, 0.839, 0.322)  0.03
Pd (0.000, 0.000, 0.000)  0.19
Ba (0.358, 0.358, 0.285)  0.00
Pt (0.000, 0.500, 0.000)  0.14
Pt (0.161, 0.161, 0.678)  0.03
Ba (0.642, 0.642, 0.715)  0.00

Summary:
The calculation puts the formation energy at 0.093 eV per atom. As for the space-group type: No. 139.



No. 4
Material: ScVGe2
Method: DFT, PBE-GGA
State: optimized geometry

a b c (Å): 4.326 5.235 6.518
angles (deg): 82.80 109.42 90.02
Each line ends with the local moment (μB).
Fractional positions:
Ge (0.611, 0.876, 0.722)  0.00
Ge (0.389, 0.124, 0.278)  0.00
Ge (0.889, 0.624, 0.278)  0.00
V (0.000, 0.000, 0.500)  0.96
Sc (0.750, 0.250, 0.000)  0.00
V (0.500, 0.500, 0.500)  -0.96
Ge (0.111, 0.376, 0.722)  0.00
Sc (0.250, 0.750, 0.000)  0.00

Summary:
The calculation puts the formation energy at -0.370 eV per atom. The value obtained for the energy above the most stable polymorph in this dataset is 0.0 meV/atom.



No. 5
Material: In2CuHgPb
Method: DFT, PBE-GGA
State: optimized geometry

a b c (Å): 5.171 5.171 5.052
angles (deg): 90.00 90.00 90.00
Fractional positions:
Hg (0.000, 0.000, 0.500)
Pb (0.500, 0.500, 0.500)
In (0.000, 0.500, 0.000)
Cu (0.000, 0.000, 0.000)
In (0.500, 0.000, 0.000)

Summary:
The calculation puts the formation energy at 0.179 eV per atom. The value obtained for the energy above the most stable polymorph in this dataset is 29.2 meV/atom. As for the space-group type: No. 123.



No. 6
Material: Li2Ni3P
Method: DFT, PBE-GGA
State: optimized geometry

a b c (Å): 4.491 4.491 4.491
angles (deg): 65.89 65.89 65.89
Fractional positions:
Ni (0.000, 0.500, 0.000)
Ni (0.000, 0.000, 0.500)
Ni (0.500, 0.000, 0.000)
Li (0.377, 0.377, 0.377)
P (0.000, 0.000, 0.000)
Li (0.623, 0.623, 0.623)

Summary:
The calculation puts the formation energy at -0.421 eV per atom. As for the space-group type: No. 166.



No. 7
Material: Nd2YZn6
Method: DFT, PBE-GGA
State: optimized geometry

a b c (Å): 3.594 7.873 7.873
angles (deg): 120.00 90.00 90.00
Fractional positions:
Zn (0.500, 0.670, 0.000)
Y (0.000, 0.000, 0.000)
Zn (0.500, 0.000, 0.330)
Zn (0.500, 0.670, 0.670)
Zn (0.500, 0.330, 0.000)
Nd (0.000, 0.333, 0.667)
Zn (0.500, 0.000, 0.670)
Zn (0.500, 0.330, 0.330)
Nd (0.000, 0.667, 0.333)

Summary:
The calculation puts the formation energy at -0.361 eV per atom. As for the space-group type: No. 191.



No. 8
Material: SrPrNiHg
Method: DFT, PBE-GGA
State: optimized geometry

a b c (Å): 5.319 5.319 5.319
angles (deg): 60.00 60.00 60.00
Fractional positions:
Pr (0.000, 0.000, 0.000)
Hg (0.750, 0.750, 0.750)
Ni (0.250, 0.250, 0.250)
Sr (0.500, 0.500, 0.500)

Summary:
The calculation puts the formation energy at -0.182 eV per atom. As for the space-group type: No. 216.



What are the Fermi-level density of states values for these records? In order: 2.79; 14.19; 13.77; 2.85; 3.37; 3.79; 7.88; 3.02 states/eV per cell.